{"formula": "CuPIr2", "functional": "PBE", "state": "relaxed", "cell": [[2.814, 0.000, 0.000], [0.000, 4.193, 0.000], [0.000, 0.000, 4.741]], "species": ["Cu", "P", "Ir", "Ir"], "fractional_positions": [[0.000, 0.000, 0.000], [0.500, 0.000, 0.500], [0.000, 0.500, 0.500], [0.500, 0.500, 0.000]], "sg": "Pmmm, No. 47", "delta_e_f_mev_per_atom": 280, "total_magnetization_mub_per_fu": 0.00}

{"formula": "Cu2PIr", "functional": "PBE", "state": "relaxed", "cell": [[3.750, 0.000, 0.000], [0.000, 2.940, 0.000], [0.000, 0.000, 9.775]], "species": ["Cu", "Cu", "Cu", "Cu", "P", "P", "Ir", "Ir"], "fractional_positions": [[0.000, 0.000, 0.000], [0.000, 0.500, 0.500], [0.500, 0.000, 0.371], [0.500, 0.500, 0.871], [0.000, 0.000, 0.764], [0.000, 0.500, 0.264], [0.500, 0.000, 0.636], [0.500, 0.500, 0.136]], "sg": "Amm2, No. 38", "delta_e_f_mev_per_atom": -15, "total_magnetization_mub_per_fu": 0.00}